## CaPb2C2 (GGA-PBE)

Data for a geometry-optimized CaPb2C2 structure.

Calculated values
**Raw total energy**: -21.6 eV/f.u.
**Formation energy from the elements**: 1.256 eV per atom
**Distance to the lowest polymorph of the same formula**: 575 meV per atom
**Symmetry**: I4/mmm, No. 139

Lattice parameters (Å, degrees): 5.758 5.758 5.758 132.73 132.73 69.08
Sites, in units of the cell vectors:
Ca (0.000, 0.000, 0.000)
Pb (0.337, 0.337, 0.000)
Pb (0.663, 0.663, 0.000)
C (0.250, 0.750, 0.500)
C (0.750, 0.250, 0.500)